1.
Compound: CaTc4Mo
Source: the Alexandria database
Functional: PBE-GGA
Structure: relaxed

**Total magnetic moment**: 0.00 μB/cell
**Energy**: -8.7394 eV/atom
**Space-group type**: F-43m
**Calculated formation energy**: 0.310 eV per atom

a b c (Å): 5.2295 5.2295 5.2295
angles (deg): 60.00 60.00 60.00
Fractional coordinates of all 6 atoms:
Ca 0.0000 0.0000 0.0000
Tc 0.3753 0.3753 0.3753
Tc 0.3753 0.3753 0.8742
Tc 0.3753 0.8742 0.3753
Tc 0.8742 0.3753 0.3753
Mo 0.7500 0.7500 0.7500



2.
Compound: La3GaSi2Pt9
Source: the Alexandria database
Functional: PBE-GGA
Structure: relaxed

**ΔE_f (raw)**: -0.8176 eV/atom
**Total magnetic moment**: 0.00 μB/cell
**Energy**: -6.3524 eV/atom
**Space-group type**: P-3m1

a b c (Å): 6.4217 6.4217 8.9828
angles (deg): 90.00 90.00 120.00
Fractional coordinates of all 15 atoms:
La 0.0000 0.0000 0.0000
La 0.3333 0.6667 0.6915
La 0.6667 0.3333 0.3085
Ga 0.0000 0.0000 0.5000
Si 0.3333 0.6667 0.1822
Si 0.6667 0.3333 0.8178
Pt 0.0000 0.5000 0.0000
Pt 0.1442 0.2883 0.2831
Pt 0.1442 0.8558 0.2831
Pt 0.2883 0.1442 0.7169
Pt 0.5000 0.0000 0.0000
Pt 0.5000 0.5000 0.0000
Pt 0.7117 0.8558 0.2831
Pt 0.8558 0.1442 0.7169
Pt 0.8558 0.7117 0.7169



3.
Compound: ScPd3Pt3
Source: the Alexandria database
Functional: PBE-GGA
Structure: relaxed

**Total magnetic moment**: 0.00 μB/cell
**Energy**: -6.0805 eV/atom
**Space-group type**: Cmmm
**Calculated formation energy**: -0.362 eV per atom

a b c (Å): 5.4807 5.4807 8.0305
angles (deg): 90.00 90.00 95.36
Fractional coordinates of all 14 atoms:
Sc 0.2253 0.2253 0.0000
Sc 0.7747 0.7747 0.0000
Pd 0.0000 0.5000 0.2487
Pd 0.0000 0.5000 0.7513
Pd 0.5000 0.0000 0.2487
Pd 0.5000 0.0000 0.7513
Pd 0.5000 0.5000 0.2521
Pd 0.5000 0.5000 0.7479
Pt 0.2100 0.2100 0.5000
Pt 0.2618 0.7382 0.0000
Pt 0.2690 0.7310 0.5000
Pt 0.7310 0.2690 0.5000
Pt 0.7382 0.2618 0.0000
Pt 0.7900 0.7900 0.5000



4.
Compound: TlTcP2
Source: the Alexandria database
Functional: PBE-GGA
Structure: relaxed

**Relative energy among the computed polymorphs**: 0.9170 eV/atom
**Total magnetic moment**: 0.00 μB/cell
**Energy**: -5.0503 eV/atom
**Space-group type**: Pmmm
**Calculated formation energy**: 0.838 eV per atom

a b c (Å): 3.3368 4.4765 4.5647
angles (deg): 90.00 90.00 90.00
Fractional coordinates of all 4 atoms:
Tl 0.0000 0.0000 0.0000
Tc 0.5000 0.0000 0.5000
P 0.0000 0.5000 0.5000
P 0.5000 0.5000 0.0000



5.
Compound: Tm12Sc5Al2
Source: the Alexandria database
Functional: PBE-GGA
Structure: relaxed

**Total magnetic moment**: 0.00 μB/cell
**Energy**: -4.8497 eV/atom
**Space-group type**: C2/m
**Calculated formation energy**: 0.035 eV per atom

a b c (Å): 8.5522 8.5522 7.9630
angles (deg): 91.43 91.43 64.12
Fractional coordinates of all 19 atoms:
Tm 0.0542 0.0542 0.3228
Tm 0.0725 0.6738 0.3341
Tm 0.1681 0.5406 0.7709
Tm 0.3262 0.9275 0.6659
Tm 0.4175 0.4175 0.1244
Tm 0.4594 0.8319 0.2291
Tm 0.5406 0.1681 0.7709
Tm 0.5825 0.5825 0.8756
Tm 0.6738 0.0725 0.3341
Tm 0.8319 0.4594 0.2291
Tm 0.9275 0.3262 0.6659
Tm 0.9458 0.9458 0.6772
Sc 0.1878 0.1878 0.0149
Sc 0.2668 0.2668 0.4258
Sc 0.5000 0.5000 0.5000
Sc 0.7332 0.7332 0.5742
Sc 0.8122 0.8122 0.9851
Al 0.1675 0.8325 0.0000
Al 0.8325 0.1675 0.0000



6.
Compound: AsWBr2
Source: the Alexandria database
Functional: PBE-GGA
Structure: relaxed

**Relative energy among the computed polymorphs**: 0.1243 eV/atom
**ΔE_f (raw)**: 0.0980 eV/atom
**Total magnetic moment**: 0.00 μB/cell
**Energy**: -5.1391 eV/atom
**Space-group type**: Pm

a b c (Å): 3.7077 3.3318 8.0842
angles (deg): 90.00 101.02 90.00
Fractional coordinates of all 4 atoms:
As 0.0000 0.0000 0.0000
W 0.5694 0.5000 0.1034
Br 0.3462 0.5000 0.7660
Br 0.6527 0.0000 0.3561



7.
Compound: TlCd6Ag
Source: the Alexandria database
Functional: PBE-GGA
Structure: relaxed

**Total magnetic moment**: 0.00 μB/cell
**Energy**: -1.3060 eV/atom
**Space-group type**: Pmm2
**Calculated formation energy**: 0.033 eV per atom

a b c (Å): 5.1139 6.6110 5.3938
angles (deg): 90.00 90.00 90.00
Fractional coordinates of all 8 atoms:
Tl 0.0000 0.0000 0.0000
Cd 0.0000 0.2689 0.5026
Cd 0.0000 0.5000 0.0143
Cd 0.0000 0.7311 0.5026
Cd 0.5000 0.0000 0.3650
Cd 0.5000 0.2679 0.8363
Cd 0.5000 0.7321 0.8363
Ag 0.5000 0.5000 0.3236



8.
Compound: ErTmPuCd
Source: the Alexandria database
Functional: PBE-GGA
Structure: relaxed

**Total magnetic moment**: 6.62 μB/cell
**Energy**: -5.9965 eV/atom
**Space-group type**: F-43m
**Calculated formation energy**: 0.074 eV per atom

a b c (Å): 5.3552 5.3552 5.3552
angles (deg): 60.00 60.00 60.00
Fractional coordinates of all 4 atoms:
Er 0.0000 0.0000 0.0000
Tm 0.5000 0.5000 0.5000
Pu 0.2500 0.2500 0.2500
Cd 0.7500 0.7500 0.7500



9.
Compound: BaSm2ZnS5
Source: the Alexandria database
Functional: PBE-GGA
Structure: relaxed

**ΔE_f (raw)**: -1.7831 eV/atom
**Total magnetic moment**: 0.00 μB/cell
**Energy**: -5.4800 eV/atom
**Space-group type**: I4/mcm

a b c (Å): 8.8018 8.8018 8.8018
angles (deg): 127.12 127.12 78.06
Fractional coordinates of all 18 atoms:
Ba 0.2500 0.2500 0.0000
Ba 0.7500 0.7500 0.0000
Sm 0.1618 0.6618 0.8237
Sm 0.3382 0.1618 0.5000
Sm 0.6618 0.8382 0.5000
Sm 0.8382 0.3382 0.1763
Zn 0.2500 0.7500 0.5000
Zn 0.7500 0.2500 0.5000
S 0.0000 0.0000 0.0000
S 0.0167 0.2194 0.5000
S 0.2194 0.7194 0.2028
S 0.2806 0.4834 0.5000
S 0.4834 0.9834 0.2028
S 0.5000 0.5000 0.0000
S 0.5167 0.0167 0.7972
S 0.7194 0.5167 0.5000
S 0.7806 0.2806 0.7972
S 0.9834 0.7806 0.5000



10.
Compound: KLa2Re
Source: the Alexandria database
Functional: PBE-GGA
Structure: relaxed

**Relative energy among the computed polymorphs**: 0.5655 eV/atom
**Total magnetic moment**: 0.00 μB/cell
**Energy**: -5.0349 eV/atom
**Space-group type**: Cmm2
**Calculated formation energy**: 0.815 eV per atom

a b c (Å): 3.3711 3.3711 11.9329
angles (deg): 90.00 90.00 112.13
Fractional coordinates of all 4 atoms:
K 0.0000 0.0000 0.0000
La 0.0000 0.0000 0.3912
La 0.5000 0.5000 0.6766
Re 0.5000 0.5000 0.2341



11.
Compound: Ta2CoP
Source: the Alexandria database
Functional: PBE-GGA
Structure: relaxed

**Total magnetic moment**: 0.00 μB/cell
**Energy**: -9.3648 eV/atom
**Space-group type**: P4mm
**Calculated formation energy**: -0.310 eV per atom

a b c (Å): 3.2462 3.2462 5.6864
angles (deg): 90.00 90.00 90.00
Fractional coordinates of all 4 atoms:
Ta 0.0000 0.0000 0.0000
Ta 0.5000 0.5000 0.3366
Co 0.0000 0.0000 0.5321
P 0.5000 0.5000 0.7952